Compound: TbMg2Sn
Source: Alexandria
Functional: PBE-GGA
Structure: relaxed

Geometry as POSCAR:
```
TbMg2Sn
1.0
-2.879 -0.334 -1.622
-0.017 -0.300 -3.307
-0.231 -11.481 -0.625
Mg Tb Sn
2 1 1
direct
0.094 0.094 0.718
0.906 0.906 0.282
0.000 0.000 0.000
0.500 0.500 0.500
```

Results
N(E_F): 0.79 states/eV/atom
Size of the total moment: 0.0 μB per cell
SG: No. 166
Energy relative to the lowest polymorph listed for this composition: 558 meV/atom



Compound: Tb2Mg2Sn3
Source: Alexandria
Functional: PBE-GGA
Structure: relaxed

Geometry as POSCAR:
```
Tb2Mg2Sn3
1.0
-0.304 4.651 -0.132
-2.015 -0.385 -8.922
-3.611 -2.459 4.027
Tb Mg Sn
2 2 3
direct
0.597 0.777 0.194
0.403 0.223 0.806
0.809 0.633 0.619
0.191 0.367 0.381
0.000 0.500 0.000
0.334 0.839 0.669
0.666 0.161 0.331
```

Results
N(E_F): 0.47 states/eV/atom
Size of the total moment: 0.0 μB per cell
SG: No. 12
Energy relative to the lowest polymorph listed for this composition: 102 meV/atom